Computed, not measured: a relaxed Hf2SbWS crystal at the PBE level of DFT.

Summary:
- Crystal system: tetragonal
- Formation energy without anion corrections: 169 kJ/mol of atoms

Cell: 5.3123 5.3123 4.8143 Å, 90.00 90.00 90.00°
Last column: nearest neighbours and their distance in Å.
Space group P4/mmm (No. 123)
Unique sites:
Hf  0.0000  0.5000  0.0000 x2  2 Sb 2.66
Sb  0.0000  0.0000  0.0000 x1  2 S 2.41, 4 Hf 2.66
W  0.5000  0.5000  0.5000 x1  8 Hf 3.58, 4 S 3.76
S  0.0000  0.0000  0.5000 x1  2 Sb 2.41

***

Computed, not measured: a relaxed Hf2ScS4 crystal at the PBE level of DFT.

Summary:
- Crystal system: tetragonal
- Formation energy without anion corrections: -78 kJ/mol of atoms

Cell: 4.8073 4.8073 12.8308 Å, 90.00 90.00 90.00°
Last column: nearest neighbours and their distance in Å.
Space group I4/mmm (No. 139)
Unique sites:
Hf  0.0000  0.0000  0.1151 x4  1 S 2.43
Sc  0.0000  0.0000  0.5000 x2  6 S 2.40-2.50
S  0.0000  0.0000  0.3048 x4  1 Hf 2.43, 1 Sc 2.50
S  0.0000  0.5000  0.0000 x4  2 Sc 2.40

***

Computed, not measured: a relaxed HfSc2S crystal at the PBE level of DFT.

Summary:
- Crystal system: tetragonal
- Formation energy without anion corrections: -44 kJ/mol of atoms

Cell: 8.0756 8.0756 5.2505 Å, 90.00 90.00 90.00°
Last column: nearest neighbours and their distance in Å.
Space group I-42d (No. 122)
Unique sites:
Hf  0.0000  0.0000  0.0000 x4  2 S 2.63
Sc  0.1673  0.2500  0.6250 x8  2 S 2.52
S  0.0000  0.0000  0.5000 x4  4 Sc 2.52, 2 Hf 2.63

***

Computed, not measured: a relaxed HfScS4 crystal at the PBE level of DFT.

Summary:
- Crystal system: orthorhombic
- Formation energy without anion corrections: -131 kJ/mol of atoms

Cell: 8.5264 8.6435 3.7303 Å, 90.00 90.00 90.00°
Last column: nearest neighbours and their distance in Å.
Space group Cmmm (No. 65)
Unique sites:
Hf  0.0000  0.0000  0.0000 x2  6 S 2.53
Sc  0.0000  0.5000  0.5000 x2  6 S 2.55-2.61
S  0.0000  0.1983  0.5000 x4  2 Hf 2.53, 1 Sc 2.61
S  0.2034  0.5000  0.0000 x4  1 Hf 2.53, 2 Sc 2.55

***

Computed, not measured: a relaxed HfScS3 crystal at the PBE level of DFT.

Summary:
- Crystal system: cubic
- Formation energy without anion corrections: -92 kJ/mol of atoms

Cell: 4.8783 4.8783 4.8783 Å, 90.00 90.00 90.00°
Last column: nearest neighbours and their distance in Å.
Space group Pm-3m (No. 221)
Unique sites:
Hf  0.0000  0.0000  0.0000 x1  6 S 2.44
Sc  0.5000  0.5000  0.5000 x1  12 S 3.45
S  0.0000  0.0000  0.5000 x3  2 Hf 2.44

***

Computed, not measured: a relaxed HfSc2S crystal at the PBE level of DFT.

Summary:
- Crystal system: trigonal
- Formation energy without anion corrections: -17 kJ/mol of atoms

Cell: 3.3999 3.3999 29.0389 Å, 90.00 90.00 120.00°
Last column: nearest neighbours and their distance in Å.
Space group R-3m (No. 166, hexagonal axes)
Unique sites:
Hf  0.0000  0.0000  0.0000 x3  6 Sc 3.17, 6 Hf 3.40
Sc  0.0000  0.0000  0.4188 x6  1 S 2.36
S  0.0000  0.0000  0.5000 x3  2 Sc 2.36

***

Computed, not measured: a relaxed HfSc3S crystal at the PBE level of DFT.

Summary:
- Crystal system: cubic
- Formation energy without anion corrections: 80 kJ/mol of atoms

Cell: 5.1738 5.1738 5.1738 Å, 90.00 90.00 90.00°
Last column: nearest neighbours and their distance in Å.
Space group Pm-3m (No. 221)
Unique sites:
Hf  0.0000  0.0000  0.0000 x1  6 Sc 2.59
Sc  0.0000  0.0000  0.5000 x3  2 Hf 2.59
S  0.5000  0.5000  0.5000 x1  12 Sc 3.66

***

Computed, not measured: a relaxed HfSc2S crystal at the PBE level of DFT.

Summary:
- Crystal system: trigonal
- Formation energy without anion corrections: -53 kJ/mol of atoms

Cell: 3.3452 3.3452 27.2468 Å, 90.00 90.00 120.00°
Last column: nearest neighbours and their distance in Å.
Space group R-3m (No. 166, hexagonal axes)
Unique sites:
Hf  0.0000  0.0000  0.0000 x3  2 Sc 2.96
Sc  0.0000  0.0000  0.1085 x6  3 S 2.50
S  0.0000  0.0000  0.5000 x3  6 Sc 2.50